Entry 1:
An optimized crystal structure of V2CoIrF. Source: the Alexandria database, functional PBE with a Hubbard U.

The structure belongs to space group P4/mmm (No. 123); the cell edges are 4.721, 4.721 and 4.356 Å and the angles 90.00°, 90.00° and 90.00°. Symmetry generates all atoms from V at (0.000, 0.500, 0.000), Co at (0.000, 0.000, 0.000), Ir at (0.000, 0.000, 0.500) and F at (0.500, 0.500, 0.500).

The density of states at the Fermi level is 1.168 states/eV per atom. The calculated total energy is -4.64 eV/atom.



Entry 2:
An optimized crystal structure of YCoIrF2. Source: the Alexandria database, functional PBE with a Hubbard U.

The structure belongs to space group P4/mmm (No. 123); the cell edges are 3.832, 3.832 and 7.322 Å and the angles 90.00°, 90.00° and 90.00°. Symmetry generates all atoms from Y at (0.000, 0.000, 0.000), Co at (0.000, 0.000, 0.500), Ir at (0.500, 0.500, 0.000) and F at (0.000, 0.500, 0.500).

The density of states at the Fermi level is 0.897 states/eV per atom. The calculated total energy is -5.54 eV/atom.



Entry 3:
An optimized crystal structure of ZnCoIrF2. Source: the Alexandria database, functional PBE with a Hubbard U.

The structure belongs to space group P4/mmm (No. 123); the cell edges are 4.034, 4.034 and 5.168 Å and the angles 90.00°, 90.00° and 90.00°. Symmetry generates all atoms from Zn at (0.000, 0.000, 0.000), Co at (0.500, 0.500, 0.000), Ir at (0.000, 0.000, 0.500) and F at (0.000, 0.500, 0.500).

The density of states at the Fermi level is 0.372 states/eV per atom. The calculated total energy is -3.77 eV/atom.



Entry 4:
An optimized crystal structure of KCo3F. Source: the Alexandria database, functional PBE with a Hubbard U.

The structure belongs to space group Pm-3m (No. 221); the cell edges are 5.366, 5.366 and 5.366 Å and the angles 90.00°, 90.00° and 90.00°. Symmetry generates all atoms from K at (0.000, 0.000, 0.000), Co at (0.000, 0.000, 0.500) and F at (0.500, 0.500, 0.500).

The density of states at the Fermi level is 0.704 states/eV per atom. The calculated total energy is -1.45 eV/atom. The value obtained for the energy relative to the lowest polymorph listed for this composition is 1526.7 meV per atom.



Entry 5:
An optimized crystal structure of KCo2F6. Source: the Alexandria database, functional PBE with a Hubbard U.

The structure belongs to space group P-31m (No. 162); the cell edges are 5.3706, 5.3706 and 5.6844 Å and the angles 90.00°, 90.00° and 120.00°. Symmetry generates all atoms from K at (0.0000, 0.0000, 0.0000), Co at (0.3333, 0.6667, 0.5000) and F at (0.0000, 0.3846, 0.6908).

The density of states at the Fermi level is 0.665 states/eV per atom. The calculated total energy is -4.71 eV/atom.



Entry 6:
An optimized crystal structure of KCo2F. Source: the Alexandria database, functional PBE with a Hubbard U.

The structure belongs to space group I4_1/amd (No. 141, origin choice 2); the cell edges are 4.783, 4.783 and 17.354 Å and the angles 90.00°, 90.00° and 90.00°. Symmetry generates all atoms from K at (0.000, 0.250, 0.375), Co at (0.000, 0.000, 0.000) and F at (0.000, 0.250, 0.875).

The density of states at the Fermi level is 0.458 states/eV per atom. The calculated total energy is -3.16 eV/atom. The value obtained for the energy relative to the lowest polymorph listed for this composition is 0.0 meV per atom.



Entry 7:
An optimized crystal structure of KCo3F. Source: the Alexandria database, functional PBE with a Hubbard U.

The structure belongs to space group Pm-3m (No. 221); the cell edges are 4.410, 4.410 and 4.410 Å and the angles 90.00°, 90.00° and 90.00°. Symmetry generates all atoms from K at (0.000, 0.000, 0.000), Co at (0.000, 0.500, 0.500) and F at (0.500, 0.500, 0.500).

The density of states at the Fermi level is 0.429 states/eV per atom. The calculated total energy is -2.98 eV/atom. The value obtained for the energy relative to the lowest polymorph listed for this composition is 0.0 meV per atom.



Entry 8:
An optimized crystal structure of K6CoF12. Source: the Alexandria database, functional PBE with a Hubbard U.

The structure belongs to space group R-3 (No. 148, hexagonal axes); the cell edges are 10.9900, 10.9900 and 10.5327 Å and the angles 90.00°, 90.00° and 120.00°. Symmetry generates all atoms from K at (0.0711, 0.5922, 0.3221), Co at (0.0000, 0.0000, 0.0000), F at (0.0446, 0.8907, 0.9029) and F at (0.0718, 0.8177, 0.4022).

The density of states at the Fermi level is 0.431 states/eV per atom. The calculated total energy is -4.01 eV/atom.



Entry 9:
An optimized crystal structure of K2CoF8. Source: the Alexandria database, functional PBE with a Hubbard U.

The structure belongs to space group C2/m (No. 12); the cell edges are 10.595, 6.045 and 6.702 Å and the angles 90.00°, 118.00° and 90.00°. Symmetry generates all atoms from K at (0.248, 0.000, 0.249), Co at (0.000, 0.000, 0.500), F at (0.018, 0.500, 0.118), F at (0.096, 0.210, 0.433) and F at (0.139, 0.000, 0.792).

The calculated total energy is -3.85 eV/atom.



Entry 10:
An optimized crystal structure of K3Co2F9. Source: the Alexandria database, functional PBE with a Hubbard U.

The structure belongs to space group P-3m1 (No. 164); the cell edges are 5.8205, 5.8205 and 7.2806 Å and the angles 90.00°, 90.00° and 120.00°. Symmetry generates all atoms from K at (0.0000, 0.0000, 0.0000), K at (0.3333, 0.6667, 0.3602), Co at (0.3333, 0.6667, 0.8379), F at (0.0000, 0.5000, 0.0000) and F at (0.1777, 0.3554, 0.7015).

The density of states at the Fermi level is 0.000 states/eV per atom. The calculated total energy is -4.53 eV/atom.



Entry 11:
An optimized crystal structure of K2Co3F8. Source: the Alexandria database, functional PBE with a Hubbard U.

The structure belongs to space group C2/m (No. 12); the cell edges are 12.526, 6.413 and 5.488 Å and the angles 90.00°, 109.76° and 90.00°. Symmetry generates all atoms from K at (0.223, 0.000, 0.173), Co at (0.000, 0.242, 0.500), Co at (0.000, 0.500, 0.000), F at (0.091, 0.500, 0.404), F at (0.092, 0.283, 0.881) and F at (0.101, 0.000, 0.469).

The density of states at the Fermi level is 0.000 states/eV per atom. The calculated total energy is -4.85 eV/atom.



Entry 12:
An optimized crystal structure of KCo2F5. Source: the Alexandria database, functional PBE with a Hubbard U.

The structure belongs to space group Cmcm (No. 63); the cell edges are 4.358, 10.082 and 10.288 Å and the angles 90.00°, 90.00° and 90.00°. Symmetry generates all atoms from K at (0.000, 0.039, 0.250), Co at (0.000, 0.353, 0.056), F at (0.000, 0.174, 0.533), F at (0.000, 0.306, 0.250) and F at (0.000, 0.454, 0.612).

The density of states at the Fermi level is 0.000 states/eV per atom. The calculated total energy is -4.84 eV/atom.



Copy entry 11 word for word.
An optimized crystal structure of K2Co3F8. Source: the Alexandria database, functional PBE with a Hubbard U.

The structure belongs to space group C2/m (No. 12); the cell edges are 12.526, 6.413 and 5.488 Å and the angles 90.00°, 109.76° and 90.00°. Symmetry generates all atoms from K at (0.223, 0.000, 0.173), Co at (0.000, 0.242, 0.500), Co at (0.000, 0.500, 0.000), F at (0.091, 0.500, 0.404), F at (0.092, 0.283, 0.881) and F at (0.101, 0.000, 0.469).

The density of states at the Fermi level is 0.000 states/eV per atom. The calculated total energy is -4.85 eV/atom.